(1)
First-principles (GGA-PBE) data for a relaxed structure of Cd2CoHg, as listed in Alexandria.

Cell lengths 5.2923, 5.2923, 5.2923 Å; angles 134.34, 134.34, 66.55 degrees
Fractional coordinates of all 4 atoms:
Cd (0.0000, 0.0000, 0.0000)
Hg (0.7500, 0.2500, 0.5000)
Co (0.2500, 0.7500, 0.5000)
Cd (0.5000, 0.5000, 0.0000)

Properties
Its symmetry is I4/mmm. The value obtained for the density of states at the Fermi level is 2.827 states/eV/cell. Its crystal system is tetragonal. As for the uncorrected energy: -1.99 eV per atom.

---

(2)
First-principles (GGA-PBE) data for a relaxed structure of Ho4Ru2Au, as listed in Alexandria.

Cell lengths 6.7259, 7.5638, 7.8211 Å; angles 111.69, 107.57, 105.33 degrees
Fractional coordinates of all 14 atoms:
Au (0.0809, 0.9733, 0.9993)
Ho (0.7603, 0.1302, 0.8107)
Ho (0.3537, 0.4808, 0.1282)
Ru (0.5169, 0.4073, 0.7330)
Ho (0.8961, 0.6434, 0.1350)
Ru (0.7450, 0.8929, 0.3932)
Ru (0.6017, 0.2494, 0.1067)
Ho (0.7871, 0.6121, 0.5808)
Ho (0.0111, 0.2585, 0.3650)
Au (0.3319, 0.7242, 0.5007)
Ho (0.4561, 0.7813, 0.9193)
Ru (0.0342, 0.4243, 0.7671)
Ho (0.1995, 0.0694, 0.6892)
Ho (0.4755, 0.1028, 0.3718)

Properties
Its symmetry is Cc. The value obtained for the density of states at the Fermi level is 9.685 states/eV/cell. Its crystal system is monoclinic. As for the polymorph energy (0 for the lowest one): 6 meV per atom.

---

(3)
First-principles (GGA-PBE) data for a relaxed structure of Al2CoBr, as listed in Alexandria.

Cell lengths 6.2259, 6.2259, 4.3113 Å; angles 68.71, 68.71, 26.76 degrees
Fractional coordinates of all 4 atoms:
Br (0.2500, 0.2500, 0.2500)
Al (0.0616, 0.0616, 0.9348)
Al (0.4384, 0.4384, 0.5652)
Co (0.7500, 0.7500, 0.7500)

Properties
Its symmetry is C2/m. The value obtained for the density of states at the Fermi level is 2.857 states/eV/cell. As for the formation energy from raw total energies: 0.280 eV/atom. Its crystal system is monoclinic. As for the polymorph energy (0 for the lowest one): 491 meV per atom.

---

(4)
First-principles (GGA-PBE) data for a relaxed structure of InRhN2O, as listed in Alexandria.

Cell lengths 4.1708, 4.1708, 4.0641 Å; angles 90.00, 90.00, 90.00 degrees
Fractional coordinates of all 5 atoms:
N (0.5000, 0.0000, 0.0000)
Rh (0.5000, 0.5000, 0.5000)
In (0.0000, 0.0000, 0.0000)
O (0.0000, 0.0000, 0.5000)
N (0.0000, 0.5000, 0.0000)

Properties
Its symmetry is P4/mmm. The value obtained for the density of states at the Fermi level is 7.354 states/eV/cell. As for the formation energy from raw total energies: 1.717 eV/atom. Its crystal system is tetragonal.

---

(5)
First-principles (GGA-PBE) data for a relaxed structure of ErMnAgRh, as listed in Alexandria.

Cell lengths 4.7024, 4.7024, 4.7024 Å; angles 60.00, 60.00, 60.00 degrees
Fractional coordinates of all 4 atoms:
Er (0.0000, 0.0000, 0.0000)
Rh (0.7500, 0.7500, 0.7500)
Mn (0.5000, 0.5000, 0.5000)
Ag (0.2500, 0.2500, 0.2500)

Properties
Its symmetry is F-43m. The value obtained for the density of states at the Fermi level is 2.945 states/eV/cell. Its crystal system is cubic. As for the uncorrected energy: -6.22 eV per atom.

---

(6)
First-principles (GGA-PBE) data for a relaxed structure of HoCu2Te3, as listed in Alexandria.

Cell lengths 4.1407, 7.6085, 11.1577 Å; angles 103.84, 90.00, 90.00 degrees
Fractional coordinates of all 12 atoms:
Te (0.2500, 0.3975, 0.1451)
Cu (0.7500, 0.5766, 0.0854)
Te (0.7500, 0.6025, 0.8549)
Cu (0.2500, 0.9550, 0.5807)
Cu (0.2500, 0.4234, 0.9146)
Te (0.2500, 0.2574, 0.4866)
Te (0.2500, 0.0601, 0.8252)
Te (0.7500, 0.9399, 0.1748)
Te (0.7500, 0.7426, 0.5134)
Ho (0.2500, 0.7719, 0.3048)
Ho (0.7500, 0.2281, 0.6952)
Cu (0.7500, 0.0450, 0.4193)

Properties
Its symmetry is P2_1/m. The value obtained for the density of states at the Fermi level is 5.173 states/eV/cell. As for the formation energy from raw total energies: -0.582 eV/atom. Its crystal system is monoclinic.

---

(7)
First-principles (GGA-PBE) data for a relaxed structure of Ba2GeIrPt, as listed in Alexandria.

Cell lengths 4.3845, 4.3845, 15.4197 Å; angles 90.00, 90.00, 90.00 degrees
Fractional coordinates of all 10 atoms:
Pt (0.5000, 0.0000, 0.1190)
Ba (0.0000, 0.5000, 0.6775)
Ge (0.0000, 0.5000, 0.4179)
Ba (0.0000, 0.5000, 0.0949)
Ba (0.5000, 0.0000, 0.9051)
Ir (0.0000, 0.0000, 0.5000)
Pt (0.0000, 0.5000, 0.8810)
Ba (0.5000, 0.0000, 0.3225)
Ir (0.5000, 0.5000, 0.5000)
Ge (0.5000, 0.0000, 0.5821)

Properties
Its symmetry is P4/nmm. The value obtained for the density of states at the Fermi level is 2.693 states/eV/cell. Its crystal system is tetragonal. As for the uncorrected energy: -5.30 eV per atom.

---

(8)
First-principles (GGA-PBE) data for a relaxed structure of Ac2LaPd, as listed in Alexandria.

Cell lengths 3.8434, 3.8434, 9.4106 Å; angles 90.00, 90.00, 90.00 degrees
Fractional coordinates of all 4 atoms:
Pd (0.5000, 0.5000, 0.0000)
Ac (0.0000, 0.0000, 0.1946)
La (0.5000, 0.5000, 0.5000)
Ac (0.0000, 0.0000, 0.8054)

Properties
Its symmetry is P4/mmm. The value obtained for the density of states at the Fermi level is 5.936 states/eV/cell. Its crystal system is tetragonal. As for the polymorph energy (0 for the lowest one): 94 meV per atom.

---

(9)
First-principles (GGA-PBE) data for a relaxed structure of CdHgAu2, as listed in Alexandria.

Cell lengths 4.6701, 3.1293, 5.6417 Å; angles 78.73, 90.00, 90.00 degrees
Fractional coordinates of all 4 atoms:
Cd (0.0000, 0.5105, 0.4430)
Au (0.5000, 0.0598, 0.2866)
Au (0.0000, 0.1868, 0.9693)
Hg (0.5000, 0.7429, 0.8011)

Properties
Its symmetry is Pm. The value obtained for the density of states at the Fermi level is 0.817 states/eV/cell. Its crystal system is monoclinic. As for the uncorrected energy: -1.98 eV per atom.

---

(10)
First-principles (GGA-PBE) data for a relaxed structure of Tb3PdSe3, as listed in Alexandria.

Cell lengths 8.4682, 8.4682, 7.5768 Å; angles 56.03, 56.03, 60.00 degrees
Fractional coordinates of all 14 atoms:
Tb (0.5297, 0.9711, 0.2313)
Se (0.1293, 0.3620, 0.7299)
Se (0.8707, 0.6380, 0.2701)
Se (0.2212, 0.8707, 0.2701)
Se (0.6380, 0.2212, 0.2701)
Pd (0.3558, 0.3558, 0.9325)
Tb (0.7321, 0.4703, 0.7687)
Se (0.7788, 0.1293, 0.7299)
Tb (0.2679, 0.5297, 0.2313)
Tb (0.4703, 0.0289, 0.7687)
Pd (0.6442, 0.6442, 0.0675)
Se (0.3620, 0.7788, 0.7299)
Tb (0.9711, 0.2679, 0.2313)
Tb (0.0289, 0.7321, 0.7687)

Properties
Its symmetry is R-3. The value obtained for the density of states at the Fermi level is 4.839 states/eV/cell. As for the formation energy from raw total energies: -1.497 eV/atom. Its crystal system is trigonal.

---

(11)
First-principles (GGA-PBE) data for a relaxed structure of Mg2VBiH, as listed in Alexandria.

Cell lengths 4.6054, 4.1865, 4.6054 Å; angles 90.00, 90.00, 90.00 degrees
Fractional coordinates of all 5 atoms:
Mg (0.0000, 0.0000, 0.5000)
V (0.0000, 0.5000, 0.0000)
H (0.0000, 0.0000, 0.0000)
Mg (0.5000, 0.0000, 0.0000)
Bi (0.5000, 0.5000, 0.5000)

Properties
Its symmetry is P4/mmm. The value obtained for the density of states at the Fermi level is 3.630 states/eV/cell. Its crystal system is tetragonal. As for the uncorrected energy: -3.76 eV per atom.

---

(12)
First-principles (GGA-PBE) data for a relaxed structure of PrEr2Tm, as listed in Alexandria.

Cell lengths 3.5725, 3.5725, 11.6918 Å; angles 81.21, 81.21, 60.00 degrees
Fractional coordinates of all 4 atoms:
Pr (0.5006, 0.5006, 0.4981)
Tm (0.6663, 0.6663, 0.0011)
Er (0.2523, 0.2523, 0.2432)
Er (0.0808, 0.0808, 0.7576)

Properties
Its symmetry is R3m. The value obtained for the density of states at the Fermi level is 5.545 states/eV/cell. Its crystal system is trigonal. As for the polymorph energy (0 for the lowest one): 10 meV per atom.